(1)
{
  "formula": "Pm2Co3Ge4Rh",
  "functional": "PBE",
  "state": "relaxed",
  "energy_ev_per_atom": -6.311,
  "formation_enthalpy_0k_ev_per_atom": -0.647,
  "lattice": [[-1.2275, -3.9172, -0.5538], [2.9765, -1.2964, 2.5724], [-6.1538, 0.8604, 7.5541]],
  "species": ["Pm", "Pm", "Ge", "Ge", "Ge", "Ge", "Co", "Co", "Co", "Rh"],
  "frac_coords": [[0.5000, 0.0000, 0.2429], [0.0000, 0.5000, 0.7571], [0.5000, 0.0000, 0.6361], [0.0000, 0.0000, 0.0000], [0.0000, 0.5000, 0.3639], [0.5000, 0.5000, 0.0000], [0.0000, 0.0000, 0.5000], [0.5000, 0.0000, 0.8765], [0.0000, 0.5000, 0.1235], [0.5000, 0.5000, 0.5000]]
}

---

(2)
{
  "formula": "Sm6In6Hg",
  "functional": "PBE",
  "state": "relaxed",
  "energy_ev_per_atom": -3.793,
  "formation_enthalpy_0k_ev_per_atom": -0.328,
  "lattice": [[-5.0140, -1.6636, 3.6619], [3.9139, -4.5292, -2.3419], [6.1806, 0.7815, 8.8178]],
  "species": ["In", "In", "In", "In", "In", "In", "Sm", "Sm", "Sm", "Sm", "Sm", "Sm", "Hg"],
  "frac_coords": [[0.0000, 0.5000, 0.7492], [0.5000, 0.0000, 0.2508], [0.5000, 0.5000, 0.2508], [0.5000, 0.5000, 0.7492], [0.5000, 0.0000, 0.7492], [0.0000, 0.5000, 0.2508], [0.0000, 0.0000, 0.3047], [0.3334, 0.6666, 0.5000], [0.0000, 0.0000, 0.6953], [0.6666, 0.3334, 0.0000], [0.6666, 0.3334, 0.5000], [0.3334, 0.6666, 0.0000], [0.0000, 0.0000, 0.0000]]
}

---

(3)
{
  "formula": "Zn2SbOs",
  "functional": "PBE",
  "state": "relaxed",
  "energy_ev_per_atom": -4.067,
  "raw_formation_energy_ev_per_atom": 0.408,
  "lattice": [[2.9936, 0.0000, 0.0000], [0.0000, 2.9936, 0.0000], [0.0000, 0.0000, 8.2047]],
  "species": ["Zn", "Zn", "Sb", "Os"],
  "frac_coords": [[0.0000, 0.0000, 0.4409], [0.0000, 0.0000, 0.0591], [0.5000, 0.5000, 0.7500], [0.5000, 0.5000, 0.2500]]
}